# 1
This record from Alexandria via LeMat-Bulk describes an optimized crystal structure of Mn2CoSe2. The functional is PBE-GGA.

Formation energy (no corrections): 416 meV per atom
E above lowest polymorph: 333.3 meV/atom
Volume: 15.8 Å³ per atom
Mass density: 6.89 g/cm3
Magnetization: 3.81 μB per formula unit

a b c (Å): 3.497 3.497 6.900
angles (deg): 75.32 75.32 90.00
Fractional positions:
Se 0.618 0.618 0.763
Se 0.382 0.382 0.237
Mn 0.250 0.750 0.500
Mn 0.750 0.250 0.500
Co 0.000 0.000 0.000

# 2
This record from Alexandria via LeMat-Bulk describes an optimized crystal structure of MnCoSe3. The functional is PBE-GGA.

Formation energy (no corrections): 651 meV per atom
E above lowest polymorph: 879.7 meV/atom
Volume: 22.3 Å³ per atom
Mass density: 5.24 g/cm3
Magnetization: 5.99 μB per formula unit

a b c (Å): 4.810 4.810 4.810
angles (deg): 90.00 90.00 90.00
Fractional positions:
Se 0.000 0.500 0.000
Se 0.000 0.000 0.500
Se 0.500 0.000 0.000
Co 0.500 0.500 0.500
Mn 0.000 0.000 0.000